Record 1
An optimized crystal structure of Sm4Dy5Y. Source: the Alexandria database, functional PBE.

Cell: 10.650 10.650 5.949 Å, 90.00 90.00 90.00°
Space group I4mm (No. 107)
Symmetry-distinct sites (fractional):
Sm1 0.000 0.324 0.000
Dy1 0.000 0.000 0.762
Dy2 0.189 0.189 0.504
Y1 0.000 0.000 0.235

Properties
The value obtained for the energy of formation from the pure elements is 0.254 eV/atom. The polymorph energy (0 for the lowest one) comes out at 66 meV/atom. Its density of states at the Fermi level is 1.3561 states/eV per atom.


Record 2
An optimized crystal structure of ReSbCl3. Source: the Alexandria database, functional PBE.

Cell: 4.916 4.916 4.916 Å, 90.00 90.00 90.00°
Space group Pm-3m (No. 221)
Symmetry-distinct sites (fractional):
Re1 0.000 0.000 0.000
Sb1 0.500 0.500 0.500
Cl1 0.000 0.000 0.500

Properties
The polymorph energy (0 for the lowest one) comes out at 0 meV/atom. The uncorrected formation energy is 0.5258 eV/atom. Its density of states at the Fermi level is 0.4962 states/eV per atom.


Record 3
An optimized crystal structure of BeSb2AuI. Source: the Alexandria database, functional PBE.

Cell: 5.428 5.428 5.666 Å, 90.00 90.00 90.00°
Space group P4/mmm (No. 123)
Symmetry-distinct sites (fractional):
Be1 0.000 0.000 0.000
Sb1 0.000 0.500 0.500
Au1 0.500 0.500 0.500
I1 0.500 0.500 0.000

Properties
The polymorph energy (0 for the lowest one) comes out at 463 meV/atom. The uncorrected formation energy is 1.0724 eV/atom. Its density of states at the Fermi level is 0.9586 states/eV per atom.


Record 4
An optimized crystal structure of SbP2Ir. Source: the Alexandria database, functional PBE.

Cell: 6.592 3.736 6.214 Å, 90.00 109.98 90.00°
Space group C2/m (No. 12)
Symmetry-distinct sites (fractional):
Sb1 0.000 0.000 0.000
P1 0.232 0.000 0.692
Ir1 0.000 0.500 0.500

Properties
The uncorrected formation energy is 0.0442 eV/atom. Its density of states at the Fermi level is 0.5469 states/eV per atom.


Record 5
An optimized crystal structure of LaTeW3. Source: the Alexandria database, functional PBE.

Cell: 4.930 4.930 4.930 Å, 90.00 90.00 90.00°
Space group Pm-3m (No. 221)
Symmetry-distinct sites (fractional):
La1 0.000 0.000 0.000
Te1 0.500 0.500 0.500
W1 0.000 0.000 0.500

Properties
The polymorph energy (0 for the lowest one) comes out at 1113 meV/atom. The uncorrected formation energy is 2.9253 eV/atom. Its density of states at the Fermi level is 1.6783 states/eV per atom.


Record 6
An optimized crystal structure of Y2Ge4IrPd3. Source: the Alexandria database, functional PBE.

Cell: 4.125 4.125 10.842 Å, 90.00 90.00 90.00°
Space group P-4m2 (No. 115)
Symmetry-distinct sites (fractional):
Y1 0.000 0.500 0.244
Ge1 0.000 0.000 0.500
Ge2 0.000 0.500 0.866
Ge3 0.500 0.500 0.500
Ir1 0.500 0.500 0.000
Pd1 0.000 0.000 0.000
Pd2 0.000 0.500 0.642

Properties
The value obtained for the energy of formation from the pure elements is -0.763 eV/atom. Its density of states at the Fermi level is 0.5610 states/eV per atom.


Record 7
An optimized crystal structure of Mg15Sc2Cd2. Source: the Alexandria database, functional PBE.

Cell: 10.0370 10.0370 15.2203 Å, 90.00 90.00 120.00°
Space group R-3m (No. 166, hexagonal axes)
Symmetry-distinct sites (fractional):
Mg1 0.0000 0.3128 0.0000
Mg2 0.0000 0.5000 0.5000
Mg3 0.0067 0.5034 0.1539
Sc1 0.0000 0.0000 0.3136
Cd1 0.0000 0.0000 0.0989

Properties
The value obtained for the energy of formation from the pure elements is 0.033 eV/atom. Its density of states at the Fermi level is 0.4104 states/eV per atom.


Record 8
An optimized crystal structure of Y2TcOs2. Source: the Alexandria database, functional PBE.

Cell: 4.127 5.509 9.087 Å, 90.00 90.00 90.00°
Space group Immm (No. 71)
Symmetry-distinct sites (fractional):
Y1 0.000 0.000 0.205
Tc1 0.000 0.500 0.000
Os1 0.000 0.274 0.500

Properties
The value obtained for the energy of formation from the pure elements is -0.210 eV/atom. The polymorph energy (0 for the lowest one) comes out at 0 meV/atom. Its density of states at the Fermi level is 0.6624 states/eV per atom.